--- P ---
A plane-wave DFT calculation with PBE-GGA was carried out for BaHf2Pt after structural relaxation.

a = 9.8519 Å, b = 9.8519 Å, c = 9.8519 Å
α = 147.05°, β = 147.05°, γ = 47.28°
Sites, in units of the cell vectors:
Ba 0.0000 0.0000 0.0000
Ba 0.7500 0.2500 0.5000
Hf 0.3685 0.6250 0.2435
Hf 0.3750 0.6185 0.7435
Hf 0.3815 0.1250 0.7565
Hf 0.8750 0.6315 0.2565
Pt 0.2500 0.7500 0.5000
Pt 0.5000 0.5000 0.0000

Results
DOS(E_F) = 13.38 states/eV/cell
Space-group type = I-42d, No. 122
Magnetization = 0.00 μB/f.u.

=====

--- Q ---
A plane-wave DFT calculation with PBE-GGA was carried out for BaHf2Pt after structural relaxation.

a = 4.9717 Å, b = 4.9717 Å, c = 4.9717 Å
α = 60.00°, β = 60.00°, γ = 60.00°
Sites, in units of the cell vectors:
Ba 0.0000 0.0000 0.0000
Hf 0.2500 0.2500 0.2500
Hf 0.7500 0.7500 0.7500
Pt 0.5000 0.5000 0.5000

Results
DOS(E_F) = 4.09 states/eV/cell
Space-group type = Fm-3m, No. 225
Magnetization = 0.00 μB/f.u.

=====

Verdict on stability: Q comes out on top.